A relaxed structure of Mg9InBi2. Source: Alexandria via LeMat-Bulk, functional PBE-GGA.

Cell lengths 4.537, 4.537, 13.943 Å; angles 90.00, 90.00, 90.00 degrees
Element x y z (fractional)
1 Mg 0.500 0.500 0.000
2 Mg 0.500 0.500 0.330
3 Mg 0.500 0.500 0.670
4 Mg 0.500 0.000 0.158
5 Mg 0.500 0.000 0.500
6 Mg 0.500 0.000 0.842
7 Mg 0.000 0.500 0.158
8 Mg 0.000 0.500 0.500
9 Mg 0.000 0.500 0.842
10 In 0.000 0.000 0.000
11 Bi 0.000 0.000 0.331
12 Bi 0.000 0.000 0.669

Summary:
For the size of the total moment, the calculation gives 0.0 μB per cell. For the total energy, the calculation gives -26.0 eV/cell. The value obtained for the density is 4.35 g/cm3. As for the density of states at the Fermi level: 5.4 states/eV/f.u. As for the space-group type: No. 123.